(1)
The following is a DFT calculation (PBE) of a relaxed ZnCr2Rh crystal.

The structure belongs to space group R3m (No. 160, hexagonal axes); the cell edges are 2.6526, 2.6526 and 25.7410 Å and the angles 90.00°, 90.00° and 120.00°. The inequivalent atoms are Zn at (0.0000, 0.0000, 0.0000), Cr at (0.0000, 0.0000, 0.2479), Cr at (0.0000, 0.0000, 0.4992) and Rh at (0.0000, 0.0000, 0.7549).

The energy relative to the elements is 0.139 eV/atom. The value obtained for the total energy is -6.8292 eV/atom.



(2)
The following is a DFT calculation (PBE) of a relaxed LaTiMn2Tc crystal.

The structure belongs to space group P4/mmm (No. 123); the cell edges are 4.513, 4.513 and 5.152 Å and the angles 90.00°, 90.00° and 90.00°. The inequivalent atoms are La at (0.000, 0.000, 0.000), Ti at (0.500, 0.500, 0.000), Mn at (0.000, 0.500, 0.500) and Tc at (0.000, 0.000, 0.500).

The energy relative to the elements is 1.230 eV/atom. The value obtained for the total energy is -7.0753 eV/atom.



(3)
The following is a DFT calculation (PBE) of a relaxed La2TeBr crystal.

The structure belongs to space group I-4m2 (No. 119); the cell edges are 4.441, 4.441 and 13.468 Å and the angles 90.00°, 90.00° and 90.00°. The inequivalent atoms are La at (0.000, 0.000, 0.000), La at (0.000, 0.500, 0.250), Te at (0.000, 0.500, 0.750) and Br at (0.000, 0.000, 0.500).

The calculation puts the uncorrected formation energy at -431 kJ/mol of formula units. The value obtained for the total energy is -4.7831 eV/atom. As for the distance to the lowest polymorph of the same formula: 307 meV per atom.



(4)
The following is a DFT calculation (PBE) of a relaxed LuNpOsRu crystal.

The structure belongs to space group F-43m (No. 216); the cell edges are 6.711, 6.711 and 6.711 Å and the angles 90.00°, 90.00° and 90.00°. The inequivalent atoms are Lu at (0.000, 0.000, 0.000), Np at (0.000, 0.000, 0.500), Os at (0.250, 0.250, 0.250) and Ru at (0.250, 0.250, 0.750).

The energy relative to the elements is -0.185 eV/atom. The value obtained for the total energy is -9.6769 eV/atom.



Q: Which D(E_F) values were calculated for the entries above? A: 14.07; 8.59; 7.65; 19.61, in states/eV/cell.